{"formula": "KCaAu2", "functional": "SCAN", "state": "single point on PBEsol structure", "rho_g_cm3": 7.49, "sg": "No. 123", "dft_energy_ev_per_atom": -39.766, "lattice": [[-2.371, 2.584, 1.140], [-1.855, -0.303, -3.173], [-4.454, -5.466, 3.126]], "species": ["Ca", "Au", "Au", "K"], "fractional_positions": [[0.500, 0.500, 0.000], [0.000, 0.000, 0.804], [0.000, 0.000, 0.196], [0.500, 0.500, 0.500]]}



{"formula": "Mg2Co2Ge", "functional": "SCAN", "state": "single point on PBEsol structure", "rho_g_cm3": 5.47, "sg": "No. 127", "dft_energy_ev_per_atom": -12.820, "lattice": [[4.193, 0.000, 0.000], [0.000, 5.883, 0.000], [0.000, 0.000, 5.883]], "species": ["Ge", "Ge", "Co", "Co", "Co", "Co", "Mg", "Mg", "Mg", "Mg"], "fractional_positions": [[0.000, 0.000, 0.000], [0.000, 0.500, 0.500], [0.000, 0.364, 0.864], [0.000, 0.864, 0.636], [0.000, 0.636, 0.136], [0.000, 0.136, 0.364], [0.500, 0.169, 0.669], [0.500, 0.669, 0.831], [0.500, 0.831, 0.331], [0.500, 0.331, 0.169]]}



{"formula": "V7P6O24", "functional": "SCAN", "state": "single point on PBEsol structure", "rho_g_cm3": 3.83, "sg": "No. 2", "dft_energy_ev_per_atom": -11.606, "e_form_raw_kcal_per_mol_atoms": -59.25, "lattice": [[6.380, 0.008, 0.027], [-1.662, 7.868, 0.054], [-2.902, -3.023, 7.969]], "species": ["V", "V", "V", "V", "V", "V", "V", "P", "P", "P", "P", "P", "P", "O", "O", "O", "O", "O", "O", "O", "O", "O", "O", "O", "O", "O", "O", "O", "O", "O", "O", "O", "O", "O", "O", "O", "O"], "fractional_positions": [[0.950, 0.285, 0.487], [0.737, 0.195, 0.743], [0.403, 0.461, 0.120], [0.597, 0.539, 0.880], [0.263, 0.805, 0.257], [0.050, 0.715, 0.513], [0.000, 0.000, 0.000], [0.912, 0.405, 0.159], [0.770, 0.863, 0.223], [0.400, 0.237, 0.384], [0.600, 0.763, 0.616], [0.230, 0.137, 0.777], [0.088, 0.595, 0.841], [0.869, 0.213, 0.047], [0.941, 0.442, 0.343], [0.795, 0.061, 0.294], [0.985, 0.815, 0.323], [0.759, 0.814, 0.039], [0.703, 0.472, 0.087], [0.865, 0.469, 0.838], [0.630, 0.227, 0.510], [0.757, 0.726, 0.524], [0.543, 0.744, 0.221], [0.465, 0.378, 0.308], [0.271, 0.048, 0.237], [0.729, 0.952, 0.763], [0.535, 0.622, 0.692], [0.457, 0.256, 0.779], [0.243, 0.274, 0.476], [0.370, 0.773, 0.490], [0.135, 0.531, 0.162], [0.297, 0.528, 0.913], [0.241, 0.186, 0.961], [0.015, 0.185, 0.677], [0.205, 0.939, 0.706], [0.059, 0.558, 0.657], [0.131, 0.787, 0.953]]}



{"formula": "NaIrSCl2", "functional": "SCAN", "state": "single point on PBEsol structure", "rho_g_cm3": 4.73, "sg": "No. 123", "dft_energy_ev_per_atom": -20.719, "e_form_raw_kcal_per_mol_atoms": -12.44, "lattice": [[-2.211, -2.582, -2.710], [-0.611, -3.384, 3.723], [-4.321, 2.274, 1.358]], "species": ["Na", "S", "Ir", "Cl", "Cl"], "fractional_positions": [[0.500, 0.500, 0.500], [0.500, 0.000, 0.000], [0.000, 0.000, 0.000], [0.000, 0.000, 0.500], [0.000, 0.500, 0.000]]}



{"formula": "Y2MnNiO6", "functional": "SCAN", "state": "single point on PBEsol structure", "rho_g_cm3": 6.10, "sg": "No. 14", "dft_energy_ev_per_atom": -15.715, "e_form_raw_kcal_per_mol_atoms": -68.38, "lattice": [[5.162, 0.000, 0.007], [0.000, 5.517, 0.000], [0.063, 0.000, 7.407]], "species": ["Y", "Y", "Y", "Y", "Mn", "Mn", "Ni", "Ni", "O", "O", "O", "O", "O", "O", "O", "O", "O", "O", "O", "O"], "fractional_positions": [[0.980, 0.926, 0.249], [0.520, 0.426, 0.251], [0.020, 0.074, 0.751], [0.480, 0.574, 0.749], [0.000, 0.500, 0.500], [0.500, 0.000, 0.000], [0.000, 0.500, 0.000], [0.500, 0.000, 0.500], [0.699, 0.689, 0.450], [0.801, 0.189, 0.050], [0.301, 0.311, 0.550], [0.199, 0.811, 0.950], [0.684, 0.706, 0.054], [0.816, 0.206, 0.446], [0.316, 0.294, 0.946], [0.184, 0.794, 0.554], [0.604, 0.969, 0.755], [0.896, 0.469, 0.745], [0.396, 0.031, 0.245], [0.104, 0.531, 0.255]]}



{"formula": "UFe2Si2", "functional": "SCAN", "state": "single point on PBEsol structure", "rho_g_cm3": 9.70, "sg": "No. 139", "dft_energy_ev_per_atom": -32.307, "e_form_raw_kcal_per_mol_atoms": -7.93, "lattice": [[3.900, 0.000, 0.000], [0.000, 3.900, 0.000], [-1.950, -1.950, 4.567]], "species": ["Si", "Si", "U", "Fe", "Fe"], "fractional_positions": [[0.370, 0.370, 0.740], [0.630, 0.630, 0.260], [0.000, 0.000, 0.000], [0.750, 0.250, 0.500], [0.250, 0.750, 0.500]]}



{"formula": "CoSiS2Cl", "functional": "SCAN", "state": "single point on PBEsol structure", "rho_g_cm3": 3.64, "sg": "No. 123", "dft_energy_ev_per_atom": -10.570, "e_form_raw_kcal_per_mol_atoms": 7.85, "lattice": [[-2.138, 2.056, 3.221], [-3.215, -2.962, -0.243], [2.095, -2.520, 3.000]], "species": ["S", "S", "Co", "Si", "Cl"], "fractional_positions": [[0.000, 0.500, 0.000], [0.500, 0.000, 0.000], [0.000, 0.000, 0.000], [0.500, 0.500, 0.500], [0.000, 0.000, 0.500]]}



{"formula": "Y2Al5Ni5", "functional": "SCAN", "state": "single point on PBEsol structure", "rho_g_cm3": 5.58, "sg": "No. 6", "dft_energy_ev_per_atom": -15.305, "lattice": [[-1.691, -3.120, 1.918], [6.532, 0.084, 5.893], [-7.977, 9.660, 8.679]], "species": ["Y", "Y", "Y", "Y", "Y", "Y", "Al", "Al", "Al", "Al", "Al", "Al", "Al", "Al", "Al", "Al", "Al", "Al", "Al", "Al", "Al", "Ni", "Ni", "Ni", "Ni", "Ni", "Ni", "Ni", "Ni", "Ni", "Ni", "Ni", "Ni", "Ni", "Ni", "Ni"], "fractional_positions": [[0.000, 0.000, 0.337], [0.000, 0.496, 0.835], [0.000, 0.496, 0.169], [0.000, 0.996, 0.663], [0.500, 0.010, 0.001], [0.500, 0.503, 0.495], [0.500, 0.991, 0.501], [0.500, 0.491, 0.001], [0.500, 0.252, 0.256], [0.500, 0.746, 0.751], [0.500, 0.751, 0.249], [0.500, 0.246, 0.748], [0.000, 0.851, 0.852], [0.000, 0.853, 0.149], [0.000, 0.350, 0.648], [0.000, 0.702, 0.001], [0.000, 0.215, 0.494], [0.000, 0.153, 0.142], [0.000, 0.649, 0.639], [0.000, 0.640, 0.360], [0.000, 0.151, 0.860], [0.500, 0.005, 0.183], [0.500, 0.499, 0.679], [0.500, 0.773, 0.406], [0.500, 0.275, 0.907], [0.500, 0.221, 0.411], [0.500, 0.726, 0.911], [0.500, 0.504, 0.317], [0.500, 0.999, 0.819], [0.500, 0.277, 0.097], [0.500, 0.771, 0.592], [0.500, 0.726, 0.090], [0.500, 0.226, 0.588], [0.000, 0.303, 0.001], [0.000, 0.801, 0.499], [0.000, 0.351, 0.350]]}



{"formula": "CsRb2TiRh", "functional": "SCAN", "state": "single point on PBEsol structure", "rho_g_cm3": 3.03, "sg": "No. 123", "dft_energy_ev_per_atom": -24.268, "lattice": [[-3.891, 4.733, -1.064], [-1.726, -2.652, -5.486], [-4.629, -3.137, 2.973]], "species": ["Cs", "Rh", "Rb", "Rb", "Ti"], "fractional_positions": [[0.500, 0.000, 0.000], [0.500, 0.500, 0.500], [0.000, 0.000, 0.500], [0.000, 0.500, 0.000], [0.000, 0.000, 0.000]]}



{"formula": "Cs2TaReSi", "functional": "SCAN", "state": "single point on PBEsol structure", "rho_g_cm3": 6.47, "sg": "No. 123", "dft_energy_ev_per_atom": -42.603, "e_form_raw_kcal_per_mol_atoms": 47.52, "lattice": [[4.850, 0.000, 0.000], [0.000, 5.914, 0.000], [0.000, 0.000, 5.914]], "species": ["Cs", "Cs", "Re", "Si", "Ta"], "fractional_positions": [[0.000, 0.000, 0.500], [0.000, 0.500, 0.000], [0.000, 0.000, 0.000], [0.500, 0.500, 0.500], [0.500, 0.000, 0.000]]}



{"formula": "TiNiB2Sb", "functional": "SCAN", "state": "single point on PBEsol structure", "rho_g_cm3": 4.47, "sg": "No. 123", "dft_energy_ev_per_atom": -14.689, "e_form_raw_kcal_per_mol_atoms": 50.18, "lattice": [[4.266, 0.000, 0.000], [0.000, 4.266, 0.000], [0.000, 0.000, 5.107]], "species": ["Sb", "B", "B", "Ti", "Ni"], "fractional_positions": [[0.000, 0.000, 0.000], [0.000, 0.500, 0.000], [0.500, 0.000, 0.000], [0.000, 0.000, 0.500], [0.500, 0.500, 0.500]]}



{"formula": "Li2IrRh", "functional": "SCAN", "state": "single point on PBEsol structure", "rho_g_cm3": 9.86, "sg": "No. 166", "dft_energy_ev_per_atom": -27.683, "lattice": [[2.630, 0.000, 0.000], [1.315, 2.278, 0.000], [1.315, 0.759, 8.688]], "species": ["Ir", "Rh", "Li", "Li"], "fractional_positions": [[0.000, 0.000, 0.000], [0.500, 0.500, 0.500], [0.250, 0.250, 0.251], [0.750, 0.750, 0.749]]}



{"formula": "Sr2FeRuO6", "functional": "SCAN", "state": "single point on PBEsol structure", "rho_g_cm3": 6.13, "sg": "No. 225", "dft_energy_ev_per_atom": -15.699, "e_form_raw_kcal_per_mol_atoms": -50.96, "lattice": [[5.474, 0.000, 0.000], [2.737, 4.741, 0.000], [2.737, 1.580, 4.470]], "species": ["Ru", "Fe", "O", "O", "O", "O", "O", "O", "Sr", "Sr"], "fractional_positions": [[0.000, 0.000, 0.000], [0.500, 0.500, 0.500], [0.748, 0.252, 0.252], [0.748, 0.252, 0.748], [0.252, 0.748, 0.252], [0.252, 0.748, 0.748], [0.252, 0.252, 0.748], [0.748, 0.748, 0.252], [0.750, 0.750, 0.750], [0.250, 0.250, 0.250]]}



{"formula": "Li2ZnAg2", "functional": "SCAN", "state": "single point on PBEsol structure", "rho_g_cm3": 6.26, "sg": "No. 127", "dft_energy_ev_per_atom": -16.297, "lattice": [[3.145, 0.000, 0.000], [0.000, 7.052, 0.000], [0.000, 0.000, 7.052]], "species": ["Zn", "Zn", "Ag", "Ag", "Ag", "Ag", "Li", "Li", "Li", "Li"], "fractional_positions": [[0.000, 0.000, 0.000], [0.000, 0.500, 0.500], [0.000, 0.358, 0.858], [0.000, 0.858, 0.642], [0.000, 0.642, 0.142], [0.000, 0.142, 0.358], [0.500, 0.159, 0.659], [0.500, 0.659, 0.841], [0.500, 0.841, 0.341], [0.500, 0.341, 0.159]]}



{"formula": "InFeCo", "functional": "SCAN", "state": "single point on PBEsol structure", "rho_g_cm3": 8.71, "sg": "No. 156", "dft_energy_ev_per_atom": -22.607, "lattice": [[2.890, 0.000, 0.000], [-1.445, 2.503, 0.000], [0.000, 0.000, 6.054]], "species": ["Co", "Fe", "In"], "fractional_positions": [[0.000, 0.000, 0.970], [0.333, 0.667, 0.701], [0.667, 0.333, 0.329]]}



{"formula": "LiBeP2O", "functional": "SCAN", "state": "single point on PBEsol structure", "rho_g_cm3": 2.47, "sg": "No. 123", "dft_energy_ev_per_atom": -6.063, "e_form_raw_kcal_per_mol_atoms": 15.95, "lattice": [[3.135, 0.000, 0.000], [0.000, 4.483, 0.000], [0.000, 0.000, 4.483]], "species": ["P", "P", "Be", "O", "Li"], "fractional_positions": [[0.000, 0.000, 0.500], [0.000, 0.500, 0.000], [0.500, 0.500, 0.500], [0.500, 0.000, 0.000], [0.000, 0.000, 0.000]]}



{"formula": "ZrCd2Hg", "functional": "SCAN", "state": "single point on PBEsol structure", "rho_g_cm3": 10.37, "sg": "No. 10", "dft_energy_ev_per_atom": -40.045, "lattice": [[3.017, 0.000, 0.035], [0.000, 4.723, 0.000], [-0.958, 0.000, 5.794]], "species": ["Hg", "Zr", "Cd", "Cd"], "fractional_positions": [[0.500, 0.500, 0.000], [0.000, 0.500, 0.500], [0.610, 0.000, 0.745], [0.390, 0.000, 0.255]]}



{"formula": "RbPtS3", "functional": "SCAN", "state": "single point on PBEsol structure", "rho_g_cm3": 5.67, "sg": "No. 221", "dft_energy_ev_per_atom": -24.099, "e_form_raw_kcal_per_mol_atoms": -3.14, "lattice": [[-4.278, -0.032, 2.170], [2.170, -0.144, 4.275], [0.037, 4.794, 0.142]], "species": ["S", "S", "S", "Rb", "Pt"], "fractional_positions": [[0.000, 0.500, 0.000], [0.000, 0.000, 0.500], [0.500, 0.000, 0.000], [0.500, 0.500, 0.500], [0.000, 0.000, 0.000]]}



{"formula": "RbBOsS2", "functional": "SCAN", "state": "single point on PBEsol structure", "rho_g_cm3": 7.33, "sg": "No. 123", "dft_energy_ev_per_atom": -21.972, "e_form_raw_kcal_per_mol_atoms": 43.56, "lattice": [[-1.245, -0.339, -4.044], [3.690, -1.855, -0.981], [-1.755, -3.951, 0.872]], "species": ["S", "S", "B", "Os", "Rb"], "fractional_positions": [[0.000, 0.500, 0.000], [0.500, 0.000, 0.000], [0.000, 0.000, 0.000], [0.500, 0.500, 0.500], [0.000, 0.000, 0.500]]}



{"formula": "Te2WN2", "functional": "SCAN", "state": "single point on PBEsol structure", "rho_g_cm3": 7.41, "sg": "No. 123", "dft_energy_ev_per_atom": -30.472, "e_form_raw_kcal_per_mol_atoms": 48.03, "lattice": [[3.942, 0.000, 0.000], [0.000, 3.942, 0.000], [0.000, 0.000, 6.733]], "species": ["Te", "Te", "W", "N", "N"], "fractional_positions": [[0.000, 0.000, 0.000], [0.000, 0.000, 0.500], [0.500, 0.500, 0.500], [0.000, 0.500, 0.000], [0.500, 0.000, 0.000]]}



{"formula": "Na2Os2Au", "functional": "SCAN", "state": "single point on PBEsol structure", "rho_g_cm3": 11.60, "sg": "No. 139", "dft_energy_ev_per_atom": -42.776, "lattice": [[-2.578, -0.570, 2.257], [2.312, -1.012, 2.385], [0.699, 7.762, 0.087]], "species": ["Os", "Os", "Au", "Na", "Na"], "fractional_positions": [[0.418, 0.418, 0.837], [0.582, 0.582, 0.163], [0.000, 0.000, 0.000], [0.250, 0.750, 0.500], [0.750, 0.250, 0.500]]}



{"formula": "Y3FeAg", "functional": "SCAN", "state": "single point on PBEsol structure", "rho_g_cm3": 5.56, "sg": "No. 221", "dft_energy_ev_per_atom": -26.453, "lattice": [[-0.771, -2.742, 4.166], [2.007, -4.030, -2.281], [4.566, 1.308, 1.706]], "species": ["Y", "Y", "Y", "Fe", "Ag"], "fractional_positions": [[0.000, 0.500, 0.000], [0.000, 0.000, 0.500], [0.500, 0.000, 0.000], [0.000, 0.000, 0.000], [0.500, 0.500, 0.500]]}



{"formula": "HoIO", "functional": "SCAN", "state": "single point on PBEsol structure", "rho_g_cm3": 7.47, "sg": "No. 166", "dft_energy_ev_per_atom": -33.565, "e_form_raw_kcal_per_mol_atoms": -67.14, "lattice": [[3.847, 0.000, 0.000], [1.923, 3.331, 0.000], [1.923, 1.110, 10.682]], "species": ["I", "I", "Ho", "Ho", "O", "O"], "fractional_positions": [[0.890, 0.890, 0.331], [0.110, 0.110, 0.669], [0.624, 0.624, 0.129], [0.376, 0.376, 0.871], [0.693, 0.693, 0.921], [0.307, 0.307, 0.079]]}



{"formula": "Ta2MnCu", "functional": "SCAN", "state": "single point on PBEsol structure", "rho_g_cm3": 13.36, "sg": "No. 99", "dft_energy_ev_per_atom": -41.640, "lattice": [[2.776, 0.000, 0.000], [0.000, 2.776, 0.000], [0.000, 0.000, 7.748]], "species": ["Cu", "Mn", "Ta", "Ta"], "fractional_positions": [[0.000, 0.000, 0.521], [0.500, 0.500, 0.727], [0.000, 0.000, 0.977], [0.500, 0.500, 0.275]]}